--- w ---
CaIn2NiHg | PBE | optimized geometry

Computed properties:
M_tot: 0.0 μB/cell
DOS at the Fermi energy: 3.15 states/eV/cell

Cell lengths 4.9505, 4.9505, 5.0960 Å; angles 90.00, 90.00, 90.00 degrees
Space group P4/mmm (No. 123)
Inequivalent atoms, fractional coordinates:
Ca 0.0000 0.0000 0.0000
In 0.0000 0.5000 0.5000
Ni 0.5000 0.5000 0.5000
Hg 0.5000 0.5000 0.0000



--- x ---
CaIn2NiHg | PBE | optimized geometry

Computed properties:
M_tot: 0.0 μB/cell
DOS at the Fermi energy: 2.35 states/eV/cell

Cell lengths 4.9480, 4.9480, 5.3958 Å; angles 90.00, 90.00, 90.00 degrees
Space group P4/mmm (No. 123)
Inequivalent atoms, fractional coordinates:
Ca 0.0000 0.0000 0.0000
In 0.0000 0.5000 0.5000
Ni 0.0000 0.0000 0.5000
Hg 0.5000 0.5000 0.0000



Stability, highest: x



--- w ---
CaPuInHg | PBE | optimized geometry

Computed properties:
M_tot: 5.6 μB/cell
DOS at the Fermi energy: 9.47 states/eV/cell

Cell lengths 3.7213, 3.7213, 7.9098 Å; angles 90.00, 90.00, 90.00 degrees
Space group P4mm (No. 99)
Inequivalent atoms, fractional coordinates:
Ca 0.0000 0.0000 0.0000
Pu 0.0000 0.0000 0.4887
In 0.5000 0.5000 0.7431
Hg 0.5000 0.5000 0.2378



--- x ---
CaPuInHg | PBE | optimized geometry

Computed properties:
M_tot: 22.4 μB/cell
DOS at the Fermi energy: 46.24 states/eV/cell

Cell lengths 7.6252, 7.6252, 7.6252 Å; angles 90.00, 90.00, 90.00 degrees
Space group F-43m (No. 216)
Inequivalent atoms, fractional coordinates:
Ca 0.0000 0.0000 0.0000
Pu 0.0000 0.0000 0.5000
In 0.2500 0.2500 0.2500
Hg 0.2500 0.2500 0.7500



Stability, highest: w



--- w ---
CaInSnHg | PBE | optimized geometry

Computed properties:
M_tot: 0.0 μB/cell
DOS at the Fermi energy: 1.68 states/eV/cell

Cell lengths 4.4963, 4.7555, 4.8706 Å; angles 90.00, 90.00, 90.00 degrees
Space group Pmmm (No. 47)
Inequivalent atoms, fractional coordinates:
Ca 0.0000 0.0000 0.0000
In 0.0000 0.5000 0.5000
Sn 0.5000 0.5000 0.0000
Hg 0.5000 0.0000 0.5000



--- x ---
CaInSnHg | PBE | optimized geometry

Computed properties:
M_tot: 0.0 μB/cell
DOS at the Fermi energy: 14.93 states/eV/cell

Cell lengths 7.5751, 7.5751, 7.5751 Å; angles 90.00, 90.00, 90.00 degrees
Space group F-43m (No. 216)
Inequivalent atoms, fractional coordinates:
Ca 0.0000 0.0000 0.0000
In 0.0000 0.0000 0.5000
Sn 0.2500 0.2500 0.2500
Hg 0.2500 0.2500 0.7500



Stability, highest: w



--- w ---
CaThInHg | PBE | optimized geometry

Computed properties:
M_tot: 0.0 μB/cell
DOS at the Fermi energy: 14.08 states/eV/cell

Cell lengths 7.6875, 7.6875, 7.6875 Å; angles 90.00, 90.00, 90.00 degrees
Space group F-43m (No. 216)
Inequivalent atoms, fractional coordinates:
Ca 0.0000 0.0000 0.0000
Th 0.0000 0.0000 0.5000
In 0.2500 0.2500 0.2500
Hg 0.2500 0.2500 0.7500



--- x ---
CaThInHg | PBE | optimized geometry

Computed properties:
M_tot: 0.0 μB/cell
DOS at the Fermi energy: 3.51 states/eV/cell

Cell lengths 3.6298, 3.6298, 8.4812 Å; angles 90.00, 90.00, 90.00 degrees
Space group P4mm (No. 99)
Inequivalent atoms, fractional coordinates:
Ca 0.0000 0.0000 0.0000
Th 0.0000 0.0000 0.5121
In 0.5000 0.5000 0.2515
Hg 0.5000 0.5000 0.7660



Stability, highest: x



--- w ---
Ca4HgIr | PBE | optimized geometry

Computed properties:
M_tot: 0.0 μB/cell
DOS at the Fermi energy: 14.33 states/eV/cell

Cell lengths 9.2510, 13.6448, 6.3098 Å; angles 90.00, 116.46, 90.00 degrees
Space group C2/c (No. 15)
Inequivalent atoms, fractional coordinates:
Ca 0.1117 0.1686 0.0736
Ca 0.2179 0.4325 0.3192
Hg 0.0000 0.3682 0.7500
Ir 0.0000 0.0006 0.2500



--- x ---
Ca4HgIr | PBE | optimized geometry

Computed properties:
M_tot: 0.0 μB/cell
DOS at the Fermi energy: 28.04 states/eV/cell

Cell lengths 8.5827, 8.5827, 8.5827 Å; angles 90.00, 90.00, 90.00 degrees
Space group F-43m (No. 216)
Inequivalent atoms, fractional coordinates:
Ca 0.1239 0.1239 0.3761
Hg 0.0000 0.0000 0.0000
Ir 0.2500 0.2500 0.7500



Stability, highest: w



--- w ---
Ca3HgIr | PBE | optimized geometry

Computed properties:
M_tot: 0.0 μB/cell
DOS at the Fermi energy: 13.24 states/eV/cell

Cell lengths 10.0846, 6.5159, 9.4525 Å; angles 90.00, 118.76, 90.00 degrees
Space group C2/m (No. 12)
Inequivalent atoms, fractional coordinates:
Ca 0.0463 0.0000 0.2510
Ca 0.2003 0.5000 0.3054
Ca 0.2064 0.5000 0.8934
Hg 0.0000 0.2836 0.5000
Ir 0.0000 0.2935 0.0000



--- x ---
Ca3HgIr | PBE | optimized geometry

Computed properties:
M_tot: 0.0 μB/cell
DOS at the Fermi energy: 1.63 states/eV/cell

Cell lengths 5.4641, 5.4641, 5.4641 Å; angles 90.00, 90.00, 90.00 degrees
Space group Pm-3m (No. 221)
Inequivalent atoms, fractional coordinates:
Ca 0.0000 0.0000 0.5000
Hg 0.5000 0.5000 0.5000
Ir 0.0000 0.0000 0.0000



Stability, highest: w



--- w ---
Ca8Hg2Ir | PBE | optimized geometry

Computed properties:
M_tot: 0.0 μB/cell
DOS at the Fermi energy: 23.67 states/eV/cell

Cell lengths 18.7145, 5.3694, 7.1446 Å; angles 90.00, 108.05, 90.00 degrees
Space group C2/m (No. 12)
Inequivalent atoms, fractional coordinates:
Ca 0.0254 0.0000 0.3016
Ca 0.0901 0.5000 0.9139
Ca 0.1504 0.5000 0.4575
Ca 0.2090 0.0000 0.8016
Hg 0.1835 0.0000 0.2158
Ir 0.0000 0.5000 0.5000



--- x ---
Ca8Hg2Ir | PBE | optimized geometry

Computed properties:
M_tot: 0.0 μB/cell
DOS at the Fermi energy: 22.84 states/eV/cell

Cell lengths 5.0435, 9.0275, 14.6450 Å; angles 90.00, 90.00, 90.00 degrees
Space group Immm (No. 71)
Inequivalent atoms, fractional coordinates:
Ca 0.0000 0.0000 0.1213
Ca 0.0000 0.2333 0.3431
Ca 0.0000 0.3179 0.0000
Hg 0.0000 0.5000 0.1901
Ir 0.0000 0.5000 0.5000



Stability, highest: w



--- w ---
CaPmHgIr | PBE | optimized geometry

Computed properties:
M_tot: 0.0 μB/cell
DOS at the Fermi energy: 15.49 states/eV/cell

Cell lengths 7.2328, 7.2328, 7.2328 Å; angles 90.00, 90.00, 90.00 degrees
Space group F-43m (No. 216)
Inequivalent atoms, fractional coordinates:
Ca 0.0000 0.0000 0.0000
Pm 0.0000 0.0000 0.5000
Hg 0.2500 0.2500 0.2500
Ir 0.2500 0.2500 0.7500



--- x ---
CaPmHgIr | PBE | optimized geometry

Computed properties:
M_tot: 0.0 μB/cell
DOS at the Fermi energy: 3.50 states/eV/cell

Cell lengths 3.6309, 3.6309, 7.3995 Å; angles 90.00, 90.00, 90.00 degrees
Space group P4mm (No. 99)
Inequivalent atoms, fractional coordinates:
Ca 0.0000 0.0000 0.0000
Pm 0.0000 0.0000 0.5580
Hg 0.5000 0.5000 0.2710
Ir 0.5000 0.5000 0.7546



Stability, highest: x